Entry from Alexandria via LeMat-Bulk: crystalline CoTeBrN2 at its relaxed geometry (GGA-PBE).

Properties
SG: P4/mmm
Formation energy (no corrections) (eV/atom): 1.21
Total energy (eV per cell): -22.5

Geometry as POSCAR:
```
CoTeBrN2
1.0
-1.7752 -2.3230 2.5681
3.1521 -2.2789 0.1174
2.0112 2.9929 4.0975
Te Co Br N
1 1 1 2
Direct
0.0000 0.0000 0.5000
0.0000 0.0000 0.0000
0.5000 0.5000 0.5000
0.0000 0.5000 0.0000
0.5000 0.0000 0.0000
```



Entry from Alexandria via LeMat-Bulk: crystalline CoTeBrN2 at its relaxed geometry (GGA-PBE).

Properties
SG: P4/mmm
Formation energy (no corrections) (eV/atom): 2.21
Total energy (eV per cell): -17.5

Geometry as POSCAR:
```
CoTeBrN2
1.0
-1.7662 -1.0732 3.2004
3.2173 -1.6282 1.2296
2.1247 6.8082 3.4555
Te Co Br N
1 1 1 2
Direct
0.0000 0.0000 0.5000
0.5000 0.5000 0.5000
0.0000 0.0000 0.0000
0.0000 0.5000 0.0000
0.5000 0.0000 0.0000
```



Entry from Alexandria via LeMat-Bulk: crystalline TiCoBr2N at its relaxed geometry (GGA-PBE).

Properties
SG: P4/mmm
Formation energy (no corrections) (eV/atom): 0.30
Total energy (eV per cell): -25.2

Geometry as POSCAR:
```
TiCoBr2N
1.0
5.1374 0.0000 0.0000
0.0000 3.4275 0.0000
0.0000 0.0000 5.1374
N Co Br Ti
1 1 2 1
Direct
0.0000 0.5000 0.0000
0.0000 0.0000 0.0000
0.0000 0.0000 0.5000
0.5000 0.0000 0.0000
0.5000 0.5000 0.5000
```



Entry from Alexandria via LeMat-Bulk: crystalline Na2Co2Br7 at its relaxed geometry (GGA-PBE).

Properties
SG: P2_1/c
Formation energy (no corrections) (eV/atom): -0.70
Total energy (eV per cell): -72.5

Geometry as POSCAR:
```
Na2Co2Br7
1.0
-1.5505 4.7114 -4.4211
4.6253 -4.2211 -4.4468
-11.6250 -8.0245 -4.4745
Na Co Br
4 4 14
Direct
0.6031 0.9197 0.1519
0.3969 0.5803 0.6519
0.3969 0.0803 0.8481
0.6031 0.4197 0.3481
0.8461 0.6609 0.8876
0.1539 0.3391 0.1124
0.8461 0.1609 0.6124
0.1539 0.8391 0.3876
0.0000 0.0000 0.5000
0.0000 0.5000 0.0000
0.2855 0.1016 0.0448
0.7145 0.3984 0.5448
0.7145 0.8984 0.9552
0.2855 0.6016 0.4552
0.0973 0.2692 0.7169
0.0973 0.7692 0.7831
0.9027 0.2308 0.2169
0.9027 0.7308 0.2831
0.5811 0.9647 0.6776
0.5811 0.4647 0.8224
0.4189 0.5353 0.1776
0.4189 0.0353 0.3224
```



Entry from Alexandria via LeMat-Bulk: crystalline Na3CoBr6 at its relaxed geometry (GGA-PBE).

Properties
SG: C2/m
Formation energy (no corrections) (eV/atom): -0.97
Total energy (eV per cell): -30.8

Geometry as POSCAR:
```
Na3CoBr6
1.0
6.8691 0.0000 -2.7880
-1.3650 6.2045 -3.3633
-1.0899 -0.3888 7.1709
Na Co Br
3 1 6
Direct
0.7466 0.2858 0.4931
0.2534 0.7142 0.5069
0.0000 0.0000 0.0000
0.5000 0.5000 0.0000
0.3377 0.3492 0.1381
0.1997 0.6508 0.8619
0.6623 0.6508 0.8619
0.8003 0.3492 0.1381
0.2835 0.1527 0.5670
0.7165 0.8473 0.4330
```



Entry from Alexandria via LeMat-Bulk: crystalline Na2CoBr at its relaxed geometry (GGA-PBE).

Properties
SG: I-42d
Formation energy (no corrections) (eV/atom): 0.13
Total energy (eV per cell): -21.8

Geometry as POSCAR:
```
Na2CoBr
1.0
7.8052 0.0000 0.0000
0.0000 7.8052 0.0000
3.9026 3.9026 4.0142
Na Co Br
4 2 2
Direct
0.6438 0.1250 0.2500
0.1062 0.6250 0.2500
0.3750 0.3562 0.7500
0.8750 0.8938 0.7500
0.5000 0.5000 0.0000
0.2500 0.7500 0.5000
0.0000 0.0000 0.0000
0.7500 0.2500 0.5000
```